No. 1
The following is a DFT calculation (PBE) of crystalline Zr2ScCuO at its relaxed geometry.

Cell: 4.4287 4.4287 4.3058 Å, 90.00 90.00 90.00°
Last column: nearest neighbours and their distance in Å.
Element x y z (fractional)
Sc: 0.0000 0.0000 0.5000  2 O 2.15
O: 0.0000 0.0000 0.0000  2 Sc 2.15, 4 Zr 2.21
Cu: 0.5000 0.5000 0.5000  8 Zr 3.09, 4 Sc 3.13
Zr: 0.0000 0.5000 0.0000  2 O 2.21
Zr: 0.5000 0.0000 0.0000  2 O 2.21

Results
Symmetry = No. 123
E_tot = -37.973 eV per cell
Energy relative to the elements, uncorrected = -1.10 eV/atom

No. 2
The following is a DFT calculation (PBE) of crystalline ZrSc2CuO at its relaxed geometry.

Cell: 4.3202 4.3202 4.4438 Å, 90.00 90.00 90.00°
Last column: nearest neighbours and their distance in Å.
Element x y z (fractional)
Sc: 0.0000 0.5000 0.0000  2 O 2.16
Sc: 0.5000 0.0000 0.0000  2 O 2.16
O: 0.0000 0.0000 0.0000  4 Sc 2.16, 2 Zr 2.22
Cu: 0.5000 0.5000 0.5000  4 Zr 3.05, 8 Sc 3.10
Zr: 0.0000 0.0000 0.5000  2 O 2.22

Results
Symmetry = No. 123
E_tot = -36.251 eV per cell
Energy relative to the elements, uncorrected = -1.20 eV/atom

No. 3
The following is a DFT calculation (PBE) of crystalline CuSeO2 at its relaxed geometry.

Cell: 6.2641 6.2641 6.2641 Å, 28.48 28.48 28.48°
Last column: nearest neighbours and their distance in Å.
Element x y z (fractional)
O: 0.8922 0.8922 0.8922  1 Se 1.94, 3 Cu 2.07
O: 0.1078 0.1078 0.1078  1 Se 1.94, 3 Cu 2.07
Cu: 0.5000 0.5000 0.5000  6 O 2.07
Se: 0.0000 0.0000 0.0000  2 O 1.94

Results
Symmetry = No. 166
E_tot = -18.945 eV per cell
Energy relative to the elements, uncorrected = -0.36 eV/atom

No. 4
The following is a DFT calculation (PBE) of crystalline Cu4SeO4 at its relaxed geometry.

Cell: 3.0269 6.2536 6.2536 Å, 86.64 75.99 75.99°
Last column: nearest neighbours and their distance in Å.
Element x y z (fractional)
Cu: 0.8409 0.5274 0.7908  3 O 1.92-1.98
Cu: 0.1591 0.4726 0.2092  3 O 1.92-1.98
Cu: 0.6317 0.2092 0.5274  3 O 1.92-1.98
Cu: 0.3683 0.7908 0.4726  3 O 1.92-1.98
Se: 0.0000 0.0000 0.0000  4 O 2.06
O: 0.7616 0.2616 0.2151  3 Cu 1.92-1.98, 1 Se 2.06
O: 0.2384 0.7384 0.7849  3 Cu 1.92-1.98, 1 Se 2.06
O: 0.9768 0.7849 0.2616  3 Cu 1.92-1.98, 1 Se 2.06
O: 0.0232 0.2151 0.7384  3 Cu 1.92-1.98, 1 Se 2.06

Results
Symmetry = No. 87
E_tot = -42.903 eV per cell
Energy relative to the elements, uncorrected = -0.36 eV/atom